[1]
DFT (GGA-PBE) results for a geometry-optimized Tc2Pt structure.

a b c (Å): 4.5548 4.5548 2.6467
angles (deg): 90.00 90.00 90.00
Closest atoms and distances in Å follow each position.
Sites, in units of the cell vectors:
Pt  0.0000  0.0000  0.0000  8 Tc 2.63, 2 Pt 2.65
Tc  0.0000  0.5000  0.5000  4 Pt 2.63, 2 Tc 2.65
Tc  0.5000  0.0000  0.5000  4 Pt 2.63, 2 Tc 2.65

Crystal system   tetragonal
Space group   No. 123
E above lowest polymorph   111.8 kJ per mole of atoms
Size of the total moment   0.000 μB per atom

[2]
DFT (GGA-PBE) results for a geometry-optimized Tc2Pt structure.

a b c (Å): 5.0237 5.0237 5.0237
angles (deg): 104.91 104.91 119.03
Closest atoms and distances in Å follow each position.
Sites, in units of the cell vectors:
Tc  0.6316  0.1316  0.7632  1 Tc 2.28
Tc  0.1316  0.3684  0.5000  1 Tc 2.28
Tc  0.8684  0.6316  0.5000  1 Tc 2.28
Tc  0.3684  0.8684  0.2368  1 Tc 2.28
Pt  0.7500  0.7500  0.0000  2 Pt 2.55, 8 Tc 2.71
Pt  0.2500  0.2500  0.0000  2 Pt 2.55, 8 Tc 2.71

Crystal system   tetragonal
Space group   No. 140
E above lowest polymorph   35.4 kJ per mole of atoms
Size of the total moment   0.000 μB per atom

[3]
DFT (GGA-PBE) results for a geometry-optimized Tc3Pt structure.

a b c (Å): 2.7635 2.7635 8.9198
angles (deg): 90.00 90.00 120.00
Closest atoms and distances in Å follow each position.
Sites, in units of the cell vectors:
Pt  0.0000  0.0000  0.0000  6 Pt 2.76, 6 Tc 2.78
Tc  0.0000  0.0000  0.5000  12 Tc 2.70-2.76
Tc  0.3333  0.6667  0.2554  9 Tc 2.70-2.76, 3 Pt 2.78
Tc  0.3333  0.6667  0.7446  9 Tc 2.70-2.76, 3 Pt 2.78

Crystal system   hexagonal
Space group   No. 187
E above lowest polymorph   17.9 kJ per mole of atoms
Size of the total moment   0.000 μB per atom

[4]
DFT (GGA-PBE) results for a geometry-optimized TcPt2 structure.

a b c (Å): 3.6626 3.6626 4.6366
angles (deg): 90.00 90.00 120.00
Closest atoms and distances in Å follow each position.
Sites, in units of the cell vectors:
Pt  0.3333  0.6667  0.3007  3 Tc 2.53, 3 Pt 2.81
Pt  0.6667  0.3333  0.6993  3 Tc 2.53, 3 Pt 2.81
Tc  0.0000  0.0000  0.0000  6 Pt 2.53

Crystal system   trigonal
Space group   No. 164
E above lowest polymorph   74.7 kJ per mole of atoms
Size of the total moment   0.000 μB per atom

[5]
DFT (GGA-PBE) results for a geometry-optimized TcPt2 structure.

a b c (Å): 4.4807 4.4807 2.6614
angles (deg): 90.00 90.00 120.00
Closest atoms and distances in Å follow each position.
Sites, in units of the cell vectors:
Tc  0.0000  0.0000  0.5000  2 Tc 2.66, 12 Pt 2.91
Pt  0.6667  0.3333  0.0000  5 Pt 2.59-2.66
Pt  0.3333  0.6667  0.0000  5 Pt 2.59-2.66

Crystal system   hexagonal
Space group   No. 191
E above lowest polymorph   19.0 kJ per mole of atoms
Size of the total moment   0.000 μB per atom

[6]
DFT (GGA-PBE) results for a geometry-optimized TcPt4 structure.

a b c (Å): 2.7769 2.7721 14.1268
angles (deg): 119.61 90.00 120.06
Closest atoms and distances in Å follow each position.
Sites, in units of the cell vectors:
Tc  0.0000  0.0000  0.0000  6 Pt 2.72, 6 Tc 2.77-2.78
Pt  0.3486  0.6972  0.8107  3 Tc 2.72, 9 Pt 2.77-2.90
Pt  0.6514  0.3028  0.1893  3 Tc 2.72, 9 Pt 2.77-2.90
Pt  0.3367  0.6733  0.6035  12 Pt 2.77-2.90
Pt  0.6633  0.3267  0.3965  12 Pt 2.77-2.90

Crystal system   monoclinic
Space group   No. 12
E above lowest polymorph   6.1 kJ per mole of atoms
Size of the total moment   0.000 μB per atom

[7]
DFT (GGA-PBE) results for a geometry-optimized Tc2Pt3 structure.

a b c (Å): 5.2229 5.2229 5.2229
angles (deg): 51.20 51.20 51.20
Closest atoms and distances in Å follow each position.
Sites, in units of the cell vectors:
Tc  0.5821  0.5821  0.5821  1 Tc 2.23
Tc  0.4179  0.4179  0.4179  1 Tc 2.23
Pt  0.0000  0.0000  0.0000  6 Tc 2.85, 8 Pt 2.92-3.06
Pt  0.7852  0.7852  0.7852  4 Tc 2.65-2.76, 4 Pt 2.92
Pt  0.2148  0.2148  0.2148  4 Tc 2.65-2.76, 4 Pt 2.92

Crystal system   trigonal
Space group   No. 166
E above lowest polymorph   21.0 kJ per mole of atoms
Size of the total moment   0.000 μB per atom

[8]
DFT (GGA-PBE) results for a geometry-optimized Tc3Pt structure.

a b c (Å): 2.6260 5.2201 5.2201
angles (deg): 117.25 80.35 80.35
Closest atoms and distances in Å follow each position.
Sites, in units of the cell vectors:
Pt  0.0000  0.0000  0.0000  2 Pt 2.63, 6 Tc 2.72
Tc  0.5000  0.0000  0.5000  6 Tc 2.63-2.72, 2 Pt 2.72
Tc  0.0000  0.5000  0.5000  6 Tc 2.63-2.72, 2 Pt 2.72
Tc  0.5000  0.5000  0.0000  6 Tc 2.63-2.72, 2 Pt 2.72

Crystal system   trigonal
Space group   No. 166
E above lowest polymorph   51.5 kJ per mole of atoms
Size of the total moment   0.000 μB per atom

[9]
DFT (GGA-PBE) results for a geometry-optimized TcPt structure.

a b c (Å): 4.3698 4.3698 7.9695
angles (deg): 90.00 90.00 120.00
Closest atoms and distances in Å follow each position.
Sites, in units of the cell vectors:
Tc  0.3333  0.6667  0.0942  1 Tc 2.48, 1 Pt 2.74
Tc  0.6667  0.3333  0.5942  1 Tc 2.48, 1 Pt 2.74
Tc  0.6667  0.3333  0.9058  1 Tc 2.48, 1 Pt 2.74
Tc  0.3333  0.6667  0.4058  1 Tc 2.48, 1 Pt 2.74
Pt  0.0000  0.0000  0.2500  3 Pt 2.52, 6 Tc 2.81
Pt  0.0000  0.0000  0.7500  3 Pt 2.52, 6 Tc 2.81
Pt  0.3333  0.6667  0.7500  3 Pt 2.52, 8 Tc 2.74-2.81
Pt  0.6667  0.3333  0.2500  3 Pt 2.52, 8 Tc 2.74-2.81

Crystal system   hexagonal
Space group   No. 194
E above lowest polymorph   48.3 kJ per mole of atoms
Size of the total moment   0.000 μB per atom

[10]
DFT (GGA-PBE) results for a geometry-optimized TcPt3 structure.

a b c (Å): 8.4323 8.4323 8.4323
angles (deg): 153.11 153.11 38.39
Closest atoms and distances in Å follow each position.
Sites, in units of the cell vectors:
Tc  0.3714  0.3714  0.0000  12 Pt 2.75-2.84
Tc  0.6286  0.6286  0.0000  12 Pt 2.75-2.84
Pt  0.5000  0.0000  0.5000  8 Pt 2.77, 4 Tc 2.84
Pt  0.1230  0.1230  0.0000  8 Pt 2.77-2.82, 4 Tc 2.77
Pt  0.8770  0.8770  0.0000  8 Pt 2.77-2.82, 4 Tc 2.77
Pt  0.7500  0.2500  0.5000  4 Tc 2.75, 8 Pt 2.77-2.82
Pt  0.2500  0.7500  0.5000  4 Tc 2.75, 8 Pt 2.77-2.82
Pt  0.0000  0.5000  0.5000  8 Pt 2.77, 4 Tc 2.84

Crystal system   tetragonal
Space group   No. 139
Energy   -0.527 Ry per atom
Size of the total moment   0.000 μB per atom

[11]
DFT (GGA-PBE) results for a geometry-optimized TcPt structure.

a b c (Å): 3.9385 4.7579 3.9391
angles (deg): 65.55 90.00 114.45
Closest atoms and distances in Å follow each position.
Sites, in units of the cell vectors:
Tc  0.4999  0.9998  0.5001  4 Tc 2.76, 8 Pt 2.76-2.79
Tc  0.7501  0.5002  0.7499  4 Tc 2.76, 8 Pt 2.76-2.79
Pt  0.0000  0.0000  0.0000  8 Tc 2.76-2.79, 4 Pt 2.76
Pt  0.2500  0.5000  0.2500  8 Tc 2.76-2.79, 4 Pt 2.76

Crystal system   tetragonal
Space group   No. 141
E above lowest polymorph   3.6 kJ per mole of atoms
Size of the total moment   0.000 μB per atom

[12]
DFT (GGA-PBE) results for a geometry-optimized Tc3Pt structure.

a b c (Å): 2.7657 4.4008 4.8232
angles (deg): 90.00 90.00 90.00
Closest atoms and distances in Å follow each position.
Sites, in units of the cell vectors:
Pt  0.0000  0.0000  0.9987  10 Tc 2.73-2.81, 2 Pt 2.77
Tc  0.0000  0.5000  0.3344  10 Tc 2.73-2.81, 2 Pt 2.73
Tc  0.5000  0.0000  0.5056  8 Tc 2.69-2.77, 4 Pt 2.75-2.81
Tc  0.5000  0.5000  0.8279  8 Tc 2.69-2.81, 4 Pt 2.73

Crystal system   orthorhombic
Space group   No. 25
E above lowest polymorph   11.8 kJ per mole of atoms
Size of the total moment   0.000 μB per atom

[13]
DFT (GGA-PBE) results for a geometry-optimized TcPt2 structure.

a b c (Å): 6.0776 6.0776 6.0776
angles (deg): 90.00 90.00 90.00
Closest atoms and distances in Å follow each position.
Sites, in units of the cell vectors:
Tc  0.0000  0.0000  0.0000  6 Pt 2.53
Tc  0.0000  0.5000  0.5000  6 Pt 2.53
Tc  0.5000  0.0000  0.5000  6 Pt 2.53
Tc  0.5000  0.5000  0.0000  6 Pt 2.53
Pt  0.1207  0.6207  0.8793  3 Tc 2.53, 1 Pt 2.54
Pt  0.1207  0.8793  0.3793  3 Tc 2.53, 1 Pt 2.54
Pt  0.3793  0.1207  0.8793  3 Tc 2.53, 1 Pt 2.54
Pt  0.3793  0.3793  0.3793  3 Tc 2.53, 1 Pt 2.54
Pt  0.6207  0.6207  0.6207  3 Tc 2.53, 1 Pt 2.54
Pt  0.6207  0.8793  0.1207  3 Tc 2.53, 1 Pt 2.54
Pt  0.8793  0.1207  0.6207  3 Tc 2.53, 1 Pt 2.54
Pt  0.8793  0.3793  0.1207  3 Tc 2.53, 1 Pt 2.54

Crystal system   cubic
Space group   No. 205
E above lowest polymorph   85.6 kJ per mole of atoms
Size of the total moment   0.001 μB per atom

[14]
DFT (GGA-PBE) results for a geometry-optimized TcPt3 structure.

a b c (Å): 2.8086 2.8086 9.0348
angles (deg): 90.00 90.00 120.00
Closest atoms and distances in Å follow each position.
Sites, in units of the cell vectors:
Tc  0.3333  0.6667  0.7500  6 Pt 2.69, 6 Tc 2.81
Pt  0.0000  0.0000  0.9875  3 Tc 2.69, 9 Pt 2.81-2.87
Pt  0.0000  0.0000  0.5125  3 Tc 2.69, 9 Pt 2.81-2.87
Pt  0.3333  0.6667  0.2500  12 Pt 2.81-2.87

Crystal system   hexagonal
Space group   No. 187
Energy   -0.529 Ry per atom
Size of the total moment   0.000 μB per atom

[15]
DFT (GGA-PBE) results for a geometry-optimized Tc3Pt structure.

a b c (Å): 5.5573 4.3950 4.7991
angles (deg): 90.00 90.00 90.00
Closest atoms and distances in Å follow each position.
Sites, in units of the cell vectors:
Pt  0.0000  0.0000  0.6667  12 Tc 2.74-2.78
Pt  0.5000  0.5000  0.3333  12 Tc 2.74-2.78
Tc  0.0000  0.5000  0.3204  8 Tc 2.69-2.85, 4 Pt 2.76-2.78
Tc  0.2448  0.0000  0.1642  8 Tc 2.69-2.85, 4 Pt 2.74-2.77
Tc  0.2552  0.5000  0.8358  8 Tc 2.69-2.85, 4 Pt 2.74-2.77
Tc  0.5000  0.0000  0.6796  8 Tc 2.69-2.85, 4 Pt 2.76-2.78
Tc  0.7552  0.0000  0.1642  8 Tc 2.69-2.85, 4 Pt 2.74-2.77
Tc  0.7448  0.5000  0.8358  8 Tc 2.69-2.85, 4 Pt 2.74-2.77

Crystal system   orthorhombic
Space group   No. 59
E above lowest polymorph   4.0 kJ per mole of atoms
Size of the total moment   0.000 μB per atom

[16]
DFT (GGA-PBE) results for a geometry-optimized TcPt structure.

a b c (Å): 4.8211 4.8211 4.8211
angles (deg): 33.21 33.21 33.21
Closest atoms and distances in Å follow each position.
Sites, in units of the cell vectors:
Tc  0.5000  0.5000  0.5000  6 Tc 2.76, 6 Pt 2.78
Pt  0.0000  0.0000  0.0000  6 Pt 2.76, 6 Tc 2.78

Crystal system   trigonal
Space group   No. 166
E above lowest polymorph   8.3 kJ per mole of atoms
Size of the total moment   0.000 μB per atom

[17]
DFT (GGA-PBE) results for a geometry-optimized Tc7Pt6 structure.

a b c (Å): 9.5322 9.5322 9.5322
angles (deg): 30.89 30.89 30.89
Closest atoms and distances in Å follow each position.
Sites, in units of the cell vectors:
Tc  0.9180  0.4080  0.4080  5 Tc 2.49-2.60, 3 Pt 2.72-2.77
Tc  0.4080  0.4080  0.9180  5 Tc 2.49-2.60, 3 Pt 2.72-2.77
Tc  0.4080  0.9180  0.4080  5 Tc 2.49-2.60, 3 Pt 2.72-2.77
Tc  0.0820  0.5920  0.5920  5 Tc 2.49-2.60, 3 Pt 2.72-2.77
Tc  0.5920  0.0820  0.5920  5 Tc 2.49-2.60, 3 Pt 2.72-2.77
Tc  0.5920  0.5920  0.0820  5 Tc 2.49-2.60, 3 Pt 2.72-2.77
Tc  0.5000  0.5000  0.5000  6 Tc 2.60
Pt  0.9520  0.9520  0.9520  2 Pt 2.61-2.79, 6 Tc 2.77
Pt  0.0480  0.0480  0.0480  2 Pt 2.61-2.79, 6 Tc 2.77
Pt  0.8495  0.8495  0.8495  4 Pt 2.79-3.06, 12 Tc 2.94-3.05
Pt  0.1505  0.1505  0.1505  4 Pt 2.79-3.06, 12 Tc 2.94-3.05
Pt  0.6614  0.6614  0.6614  6 Tc 2.72-2.93, 3 Pt 2.95
Pt  0.3386  0.3386  0.3386  6 Tc 2.72-2.93, 3 Pt 2.95

Crystal system   trigonal
Space group   No. 166
Energy   -0.607 Ry per atom
Size of the total moment   0.000 μB per atom

[18]
DFT (GGA-PBE) results for a geometry-optimized Tc5Pt structure.

a b c (Å): 2.7384 2.7384 11.7910
angles (deg): 90.00 90.00 90.00
Closest atoms and distances in Å follow each position.
Sites, in units of the cell vectors:
Tc  0.0000  0.0000  0.8264  8 Tc 2.69-2.74, 4 Pt 2.82
Tc  0.0000  0.0000  0.1736  8 Tc 2.69-2.74, 4 Pt 2.82
Tc  0.5000  0.5000  0.6683  12 Tc 2.69-2.77
Tc  0.5000  0.5000  0.3317  12 Tc 2.69-2.77
Tc  0.0000  0.0000  0.5000  12 Tc 2.74-2.77
Pt  0.5000  0.5000  0.0000  4 Pt 2.74, 8 Tc 2.82

Crystal system   tetragonal
Space group   No. 123
E above lowest polymorph   10.1 kJ per mole of atoms
Size of the total moment   0.000 μB per atom

[19]
DFT (GGA-PBE) results for a geometry-optimized Tc3Pt structure.

a b c (Å): 3.8875 3.8875 3.8875
angles (deg): 90.00 90.00 90.00
Closest atoms and distances in Å follow each position.
Sites, in units of the cell vectors:
Pt  0.0000  0.0000  0.0000  12 Tc 2.75
Tc  0.0000  0.5000  0.5000  8 Tc 2.75, 4 Pt 2.75
Tc  0.5000  0.0000  0.5000  8 Tc 2.75, 4 Pt 2.75
Tc  0.5000  0.5000  0.0000  8 Tc 2.75, 4 Pt 2.75

Crystal system   cubic
Space group   No. 221
E above lowest polymorph   13.9 kJ per mole of atoms
Size of the total moment   0.000 μB per atom

[20]
DFT (GGA-PBE) results for a geometry-optimized Tc2Pt structure.

a b c (Å): 4.2290 4.2290 4.2290
angles (deg): 60.00 60.00 60.00
Closest atoms and distances in Å follow each position.
Sites, in units of the cell vectors:
Pt  0.0000  0.0000  0.0000  8 Tc 2.59
Tc  0.7500  0.7500  0.7500  4 Pt 2.59
Tc  0.2500  0.2500  0.2500  4 Pt 2.59

Crystal system   cubic
Space group   No. 225
E above lowest polymorph   100.5 kJ per mole of atoms
Size of the total moment   0.002 μB per atom

Number 1: D(E_F) 5.672 states/eV per cell. Number 2: D(E_F) 7.274 states/eV per cell. Number 3: D(E_F) 4.088 states/eV per cell. Number 4: D(E_F) 2.716 states/eV per cell. Number 5: D(E_F) 2.133 states/eV per cell. Number 6: D(E_F) 5.917 states/eV per cell. Number 7: D(E_F) 6.267 states/eV per cell. Number 8: D(E_F) 4.834 states/eV per cell. Number 9: D(E_F) 8.251 states/eV per cell. Number 10: D(E_F) 9.599 states/eV per cell. Number 11: D(E_F) 4.964 states/eV per cell. Number 12: D(E_F) 3.295 states/eV per cell. Number 13: D(E_F) 19.813 states/eV per cell. Number 14: D(E_F) 6.993 states/eV per cell. Number 15: D(E_F) 4.034 states/eV per cell. Number 16: D(E_F) 1.377 states/eV per cell. Number 17: D(E_F) 15.771 states/eV per cell. Number 18: D(E_F) 5.397 states/eV per cell. Number 19: D(E_F) 3.512 states/eV per cell. Number 20: D(E_F) 6.663 states/eV per cell.